[1]
Compound: InW
Source: the Alexandria database
Functional: GGA-PBE
Structure: relaxed

The calculation puts the formation energy at 0.583 eV per atom. The total magnetization is 0.0 μB/f.u. For the density of states at the Fermi level, the calculation gives 1.3 states/eV/f.u. As for the energy above the most stable polymorph in this dataset: 180.9 meV per atom.

a b c (Å): 4.768 8.891 5.308
angles (deg): 90.00 90.00 90.00
Fractional coordinates of all 12 atoms:
In 0.000 0.000 0.000
In 0.000 0.500 0.500
In 0.500 0.176 0.811
In 0.500 0.324 0.311
In 0.500 0.676 0.311
In 0.500 0.824 0.811
W 0.000 0.151 0.486
W 0.000 0.349 0.986
W 0.000 0.651 0.986
W 0.000 0.849 0.486
W 0.500 0.000 0.360
W 0.500 0.500 0.860

[2]
Compound: ScSbS2Cl
Source: the Alexandria database
Functional: GGA-PBE
Structure: relaxed

The value obtained for the formation energy (no corrections) is -0.098 eV per atom. The total magnetization is 1.0 μB/f.u. For the density of states at the Fermi level, the calculation gives 6.2 states/eV/f.u. As for the energy above the most stable polymorph in this dataset: 605.2 meV per atom.

a b c (Å): 5.157 5.157 5.065
angles (deg): 90.00 90.00 90.00
Fractional coordinates of all 5 atoms:
Sc 0.000 0.000 0.000
Sb 0.500 0.500 0.500
S 0.000 0.500 0.500
S 0.500 0.000 0.500
Cl 0.500 0.500 0.000

[3]
Compound: PrSm9Dy2
Source: the Alexandria database
Functional: GGA-PBE
Structure: relaxed

The calculation puts the formation energy at 0.019 eV per atom. The total magnetization is 0.0 μB/f.u. For the density of states at the Fermi level, the calculation gives 19.4 states/eV/f.u. As for the energy above the most stable polymorph in this dataset: 0.0 meV per atom.

a b c (Å): 5.116 5.116 15.361
angles (deg): 90.00 90.00 90.00
Fractional coordinates of all 12 atoms:
Pr 0.000 0.000 0.000
Sm 0.000 0.500 0.169
Sm 0.000 0.500 0.500
Sm 0.000 0.500 0.831
Sm 0.500 0.000 0.169
Sm 0.500 0.000 0.500
Sm 0.500 0.000 0.831
Sm 0.500 0.500 0.000
Sm 0.500 0.500 0.335
Sm 0.500 0.500 0.665
Dy 0.000 0.000 0.335
Dy 0.000 0.000 0.665

[4]
Compound: Ho8Er3Th3
Source: the Alexandria database
Functional: GGA-PBE
Structure: relaxed

The calculation puts the formation energy at 0.154 eV per atom. The total magnetization is 0.0 μB/f.u. For the density of states at the Fermi level, the calculation gives 21.6 states/eV/f.u.

a b c (Å): 9.555 9.555 9.555
angles (deg): 145.83 112.28 78.08
Fractional coordinates of all 14 atoms:
Ho 0.056 0.397 0.659
Ho 0.065 0.223 0.842
Ho 0.262 0.603 0.659
Ho 0.382 0.223 0.158
Ho 0.618 0.777 0.842
Ho 0.738 0.397 0.341
Ho 0.935 0.777 0.158
Ho 0.944 0.603 0.341
Er 0.000 0.000 0.000
Er 0.305 0.000 0.305
Er 0.695 0.000 0.695
Th 0.316 0.816 0.500
Th 0.500 0.500 0.000
Th 0.684 0.184 0.500

[5]
Compound: Ba2CeYS6
Source: the Alexandria database
Functional: GGA-PBE
Structure: relaxed

The value obtained for the formation energy (no corrections) is -1.821 eV per atom. The total magnetization is 0.0 μB/f.u. For the density of states at the Fermi level, the calculation gives 13.5 states/eV/f.u.

a b c (Å): 7.241 7.606 12.674
angles (deg): 90.00 124.42 90.00
Fractional coordinates of all 20 atoms:
Ba 0.228 0.065 0.250
Ba 0.228 0.435 0.750
Ba 0.772 0.565 0.250
Ba 0.772 0.935 0.750
Ce 0.500 0.000 0.000
Ce 0.500 0.500 0.500
Y 0.000 0.000 0.500
Y 0.000 0.500 0.000
S 0.156 0.204 0.954
S 0.156 0.296 0.454
S 0.251 0.707 0.953
S 0.251 0.793 0.453
S 0.339 0.023 0.750
S 0.339 0.477 0.250
S 0.661 0.523 0.750
S 0.661 0.977 0.250
S 0.749 0.207 0.547
S 0.749 0.293 0.047
S 0.844 0.704 0.546
S 0.844 0.796 0.046

[6]
Compound: Pm7Sb4Te4
Source: the Alexandria database
Functional: GGA-PBE
Structure: relaxed

The value obtained for the formation energy (no corrections) is -1.148 eV per atom. The total magnetization is 0.7 μB/f.u. For the density of states at the Fermi level, the calculation gives 4.1 states/eV/f.u.

a b c (Å): 11.761 11.761 11.761
angles (deg): 96.93 96.93 139.34
Fractional coordinates of all 30 atoms:
Pm 0.000 0.280 0.280
Pm 0.000 0.720 0.720
Pm 0.138 0.500 0.638
Pm 0.241 0.241 0.000
Pm 0.280 0.000 0.280
Pm 0.294 0.294 0.588
Pm 0.294 0.706 0.000
Pm 0.500 0.138 0.638
Pm 0.500 0.862 0.362
Pm 0.706 0.294 0.000
Pm 0.706 0.706 0.412
Pm 0.720 0.000 0.720
Pm 0.759 0.759 0.000
Pm 0.862 0.500 0.362
Sb 0.102 0.602 0.204
Sb 0.102 0.898 0.500
Sb 0.398 0.602 0.500
Sb 0.398 0.898 0.796
Sb 0.602 0.102 0.204
Sb 0.602 0.398 0.500
Sb 0.898 0.102 0.500
Sb 0.898 0.398 0.796
Te 0.122 0.122 0.244
Te 0.122 0.878 0.000
Te 0.335 0.500 0.835
Te 0.500 0.335 0.835
Te 0.500 0.665 0.165
Te 0.665 0.500 0.165
Te 0.878 0.122 0.000
Te 0.878 0.878 0.756

[7]
Compound: Zn2BH
Source: the Alexandria database
Functional: GGA-PBE
Structure: relaxed

The total magnetization is 0.0 μB/f.u. For the density of states at the Fermi level, the calculation gives 1.2 states/eV/f.u. As for the energy above the most stable polymorph in this dataset: 0.0 meV per atom.

a b c (Å): 4.432 4.432 10.008
angles (deg): 90.00 90.00 90.00
Fractional coordinates of all 16 atoms:
Zn 0.207 0.250 0.125
Zn 0.250 0.707 0.375
Zn 0.250 0.793 0.875
Zn 0.293 0.250 0.625
Zn 0.707 0.750 0.625
Zn 0.750 0.207 0.875
Zn 0.750 0.293 0.375
Zn 0.793 0.750 0.125
B 0.000 0.000 0.500
B 0.000 0.500 0.750
B 0.500 0.000 0.250
B 0.500 0.500 0.000
H 0.000 0.000 0.000
H 0.000 0.500 0.250
H 0.500 0.000 0.750
H 0.500 0.500 0.500

[8]
Compound: CaSe2NCl
Source: the Alexandria database
Functional: GGA-PBE
Structure: relaxed

The value obtained for the formation energy (no corrections) is 0.928 eV per atom. The total magnetization is 3.2 μB/f.u. For the density of states at the Fermi level, the calculation gives 6.6 states/eV/f.u. As for the energy above the most stable polymorph in this dataset: 390.6 meV per atom.

a b c (Å): 5.739 5.739 4.445
angles (deg): 90.00 90.00 90.00
Fractional coordinates of all 5 atoms:
Ca 0.000 0.000 0.000
Se 0.000 0.500 0.000
Se 0.500 0.000 0.000
N 0.000 0.000 0.500
Cl 0.500 0.500 0.500

[9]
Compound: Ba2YO
Source: the Alexandria database
Functional: GGA-PBE
Structure: relaxed

The value obtained for the formation energy (no corrections) is 0.347 eV per atom. The total magnetization is 0.0 μB/f.u. For the density of states at the Fermi level, the calculation gives 9.1 states/eV/f.u. As for the energy above the most stable polymorph in this dataset: 1278.2 meV per atom.

a b c (Å): 8.224 8.224 8.224
angles (deg): 90.00 90.00 90.00
Fractional coordinates of all 16 atoms:
Ba 0.250 0.250 0.250
Ba 0.250 0.250 0.750
Ba 0.250 0.750 0.250
Ba 0.250 0.750 0.750
Ba 0.750 0.250 0.250
Ba 0.750 0.250 0.750
Ba 0.750 0.750 0.250
Ba 0.750 0.750 0.750
Y 0.000 0.000 0.000
Y 0.000 0.500 0.500
Y 0.500 0.000 0.500
Y 0.500 0.500 0.000
O 0.000 0.000 0.500
O 0.000 0.500 0.000
O 0.500 0.000 0.000
O 0.500 0.500 0.500

[10]
Compound: Pr7Ir2Pb2
Source: the Alexandria database
Functional: GGA-PBE
Structure: relaxed

The calculation puts the formation energy at -0.412 eV per atom. The total magnetization is 0.0 μB/f.u. For the density of states at the Fermi level, the calculation gives 11.2 states/eV/f.u.

a b c (Å): 7.149 7.149 7.406
angles (deg): 90.00 90.00 106.02
Fractional coordinates of all 11 atoms:
Pr 0.000 0.000 0.000
Pr 0.000 0.500 0.246
Pr 0.000 0.500 0.754
Pr 0.500 0.000 0.246
Pr 0.500 0.000 0.754
Pr 0.500 0.500 0.233
Pr 0.500 0.500 0.767
Ir 0.284 0.716 0.000
Ir 0.716 0.284 0.000
Pb 0.182 0.182 0.500
Pb 0.818 0.818 0.500

[11]
Compound: CsThBi2
Source: the Alexandria database
Functional: GGA-PBE
Structure: relaxed

The calculation puts the formation energy at -0.411 eV per atom. The total magnetization is 0.0 μB/f.u. For the density of states at the Fermi level, the calculation gives 2.8 states/eV/f.u. As for the energy above the most stable polymorph in this dataset: 0.0 meV per atom.

a b c (Å): 3.773 3.773 10.305
angles (deg): 90.00 90.00 90.00
Fractional coordinates of all 4 atoms:
Cs 0.000 0.000 0.000
Th 0.000 0.000 0.500
Bi 0.500 0.500 0.286
Bi 0.500 0.500 0.714

[12]
Compound: LaScPS2
Source: the Alexandria database
Functional: GGA-PBE
Structure: relaxed

The value obtained for the formation energy (no corrections) is -1.276 eV per atom. The total magnetization is 0.0 μB/f.u. For the density of states at the Fermi level, the calculation gives 3.9 states/eV/f.u. As for the energy above the most stable polymorph in this dataset: 0.0 meV per atom.

a b c (Å): 4.869 4.869 4.951
angles (deg): 90.00 90.00 90.00
Fractional coordinates of all 5 atoms:
La 0.000 0.000 0.000
Sc 0.500 0.500 0.500
P 0.500 0.500 0.000
S 0.000 0.500 0.500
S 0.500 0.000 0.500